The following is a DFT calculation (PBE-GGA) of a relaxed Cd2InGeI crystal.

POSCAR file:
```
Cd2InGeI
1.0
5.3568 0.0000 0.0000
0.0000 5.3568 0.0000
0.0000 0.0000 5.6336
I Ge Cd In
1 1 2 1
direct
0.5000 0.5000 0.5000
0.0000 0.0000 0.0000
0.0000 0.5000 0.0000
0.5000 0.0000 0.0000
0.0000 0.0000 0.5000
```

Values from the calculation:
The calculation puts the total energy at -10.68 eV per cell. The value obtained for the uncorrected formation energy is 11 meV per atom. The density of states at the Fermi level is 0.374 states/eV/atom.